[1]
# Nb3AlTl

A geometry-optimized Nb3AlTl structure (GGA-PBEsol, Alexandria).

Summary:
* uncorrected energy: -33.89 eV per cell
* spin magnetization: 0.0 μB/cell

abc: 4.7045 4.7045 4.7045
angles: 90.00 90.00 90.00
Last column: nearest neighbours and their distance in Å.
Atoms (fractional coordinates):
1 Tl 0.5000 0.5000 0.5000  12 Nb 3.33
2 Nb 0.0000 0.5000 0.0000  2 Al 2.35
3 Nb 0.0000 0.0000 0.5000  2 Al 2.35
4 Nb 0.5000 0.0000 0.0000  2 Al 2.35
5 Al 0.0000 0.0000 0.0000  6 Nb 2.35


[2]
# U6Nb4Al43

A geometry-optimized U6Nb4Al43 structure (GGA-PBEsol, Alexandria).

Summary:
* uncorrected energy: -602.67 eV per cell
* spin magnetization: 0.0 μB/cell

abc: 11.1023 11.1023 17.1009
angles: 90.00 90.00 120.00
Last column: nearest neighbours and their distance in Å.
Atoms (fractional coordinates):
1 U 0.0000 0.4882 0.9275  1 U 2.49
2 U 0.0000 0.5118 0.0725  1 U 2.49
3 U 0.4882 0.0000 0.9275  1 U 2.49
4 U 0.0000 0.5118 0.4275  1 U 2.49
5 U 0.4882 0.0000 0.5725  1 U 2.49
6 U 0.5118 0.0000 0.0725  1 U 2.49
7 U 0.0000 0.4882 0.5725  1 U 2.49
8 U 0.5118 0.0000 0.4275  1 U 2.49
9 U 0.5118 0.5118 0.9275  1 U 2.49
10 U 0.4882 0.4882 0.0725  1 U 2.49
11 U 0.4882 0.4882 0.4275  1 U 2.49
12 U 0.5118 0.5118 0.5725  1 U 2.49
13 Nb 0.0000 0.0000 0.0000  12 Al 2.65-2.84
14 Nb 0.0000 0.0000 0.5000  12 Al 2.65-2.84
15 Nb 0.0000 0.2740 0.7500  10 Al 2.63-2.72
16 Nb 0.0000 0.7260 0.2500  10 Al 2.63-2.72
17 Nb 0.2740 0.0000 0.7500  10 Al 2.63-2.72
18 Nb 0.7260 0.0000 0.2500  10 Al 2.63-2.72
19 Nb 0.7260 0.7260 0.7500  10 Al 2.63-2.72
20 Nb 0.2740 0.2740 0.2500  10 Al 2.63-2.72
21 Al 0.4121 0.8590 0.7500  1 Nb 2.68, 7 Al 2.71-2.86
22 Al 0.5879 0.1410 0.2500  1 Nb 2.68, 7 Al 2.71-2.86
23 Al 0.4469 0.5879 0.7500  1 Nb 2.68, 7 Al 2.71-2.86
24 Al 0.8590 0.4121 0.7500  1 Nb 2.68, 7 Al 2.71-2.86
25 Al 0.5531 0.4121 0.2500  1 Nb 2.68, 7 Al 2.71-2.86
26 Al 0.1410 0.5879 0.2500  1 Nb 2.68, 7 Al 2.71-2.86
27 Al 0.1410 0.5531 0.7500  1 Nb 2.68, 7 Al 2.71-2.86
28 Al 0.5879 0.4469 0.7500  1 Nb 2.68, 7 Al 2.71-2.86
29 Al 0.8590 0.4469 0.2500  1 Nb 2.68, 7 Al 2.71-2.86
30 Al 0.4121 0.5531 0.2500  1 Nb 2.68, 7 Al 2.71-2.86
31 Al 0.5531 0.1410 0.7500  1 Nb 2.68, 7 Al 2.71-2.86
32 Al 0.4469 0.8590 0.2500  1 Nb 2.68, 7 Al 2.71-2.86
33 Al 0.0000 0.8403 0.3846  2 Nb 2.63-2.65, 7 Al 2.69-2.88
34 Al 0.0000 0.1597 0.6154  2 Nb 2.63-2.65, 7 Al 2.69-2.88
35 Al 0.8403 0.0000 0.3846  2 Nb 2.63-2.65, 7 Al 2.69-2.88
36 Al 0.0000 0.1597 0.8846  2 Nb 2.63-2.65, 7 Al 2.69-2.88
37 Al 0.8403 0.0000 0.1154  2 Nb 2.63-2.65, 7 Al 2.69-2.88
38 Al 0.1597 0.0000 0.6154  2 Nb 2.63-2.65, 7 Al 2.69-2.88
39 Al 0.0000 0.8403 0.1154  2 Nb 2.63-2.65, 7 Al 2.69-2.88
40 Al 0.1597 0.0000 0.8846  2 Nb 2.63-2.65, 7 Al 2.69-2.88
41 Al 0.1597 0.1597 0.3846  2 Nb 2.63-2.65, 7 Al 2.69-2.88
42 Al 0.8403 0.8403 0.6154  2 Nb 2.63-2.65, 7 Al 2.69-2.88
43 Al 0.8403 0.8403 0.8846  2 Nb 2.63-2.65, 7 Al 2.69-2.88
44 Al 0.1597 0.1597 0.1154  2 Nb 2.63-2.65, 7 Al 2.69-2.88
45 Al 0.5092 0.7546 0.0000  8 Al 2.74-2.93, 2 U 2.98
46 Al 0.4908 0.2454 0.0000  8 Al 2.74-2.93, 2 U 2.98
47 Al 0.2454 0.4908 0.0000  8 Al 2.74-2.93, 2 U 2.98
48 Al 0.4908 0.2454 0.5000  8 Al 2.74-2.93, 2 U 2.98
49 Al 0.7546 0.5092 0.5000  8 Al 2.74-2.93, 2 U 2.98
50 Al 0.7546 0.5092 0.0000  8 Al 2.74-2.93, 2 U 2.98
51 Al 0.5092 0.7546 0.5000  8 Al 2.74-2.93, 2 U 2.98
52 Al 0.2454 0.4908 0.5000  8 Al 2.74-2.93, 2 U 2.98
53 Al 0.2454 0.7546 0.0000  8 Al 2.74-2.93, 2 U 2.98
54 Al 0.7546 0.2454 0.0000  8 Al 2.74-2.93, 2 U 2.98
55 Al 0.7546 0.2454 0.5000  8 Al 2.74-2.93, 2 U 2.98
56 Al 0.2454 0.7546 0.5000  8 Al 2.74-2.93, 2 U 2.98
57 Al 0.0000 0.8498 0.7500  2 Nb 2.64, 10 Al 2.86-2.89
58 Al 0.0000 0.1502 0.2500  2 Nb 2.64, 10 Al 2.86-2.89
59 Al 0.8498 0.0000 0.7500  2 Nb 2.64, 10 Al 2.86-2.89
60 Al 0.1502 0.0000 0.2500  2 Nb 2.64, 10 Al 2.86-2.89
61 Al 0.1502 0.1502 0.7500  2 Nb 2.64, 10 Al 2.86-2.89
62 Al 0.8498 0.8498 0.2500  2 Nb 2.64, 10 Al 2.86-2.89
63 Al 0.3333 0.6667 0.8734  9 Al 2.68-2.81
64 Al 0.6667 0.3333 0.1266  9 Al 2.68-2.81
65 Al 0.6667 0.3333 0.3734  9 Al 2.68-2.81
66 Al 0.6667 0.3333 0.6266  9 Al 2.68-2.81
67 Al 0.3333 0.6667 0.6266  9 Al 2.68-2.81
68 Al 0.3333 0.6667 0.3734  9 Al 2.68-2.81
69 Al 0.3333 0.6667 0.1266  9 Al 2.68-2.81
70 Al 0.6667 0.3333 0.8734  9 Al 2.68-2.81
71 Al 0.0000 0.7482 0.9700  9 Al 2.69-2.98, 1 Nb 2.84, 1 U 2.98
72 Al 0.0000 0.2518 0.0300  9 Al 2.69-2.98, 1 Nb 2.84, 1 U 2.98
73 Al 0.7482 0.0000 0.9700  9 Al 2.69-2.98, 1 Nb 2.84, 1 U 2.98
74 Al 0.0000 0.2518 0.4700  9 Al 2.69-2.98, 1 Nb 2.84, 1 U 2.98
75 Al 0.7482 0.0000 0.5300  9 Al 2.69-2.98, 1 Nb 2.84, 1 U 2.98
76 Al 0.2518 0.0000 0.0300  9 Al 2.69-2.98, 1 Nb 2.84, 1 U 2.98
77 Al 0.0000 0.7482 0.5300  9 Al 2.69-2.98, 1 Nb 2.84, 1 U 2.98
78 Al 0.2518 0.0000 0.4700  9 Al 2.69-2.98, 1 Nb 2.84, 1 U 2.98
79 Al 0.2518 0.2518 0.9700  9 Al 2.69-2.98, 1 Nb 2.84, 1 U 2.98
80 Al 0.7482 0.7482 0.0300  9 Al 2.69-2.98, 1 Nb 2.84, 1 U 2.98
81 Al 0.7482 0.7482 0.4700  9 Al 2.69-2.98, 1 Nb 2.84, 1 U 2.98
82 Al 0.2518 0.2518 0.5300  9 Al 2.69-2.98, 1 Nb 2.84, 1 U 2.98
83 Al 0.6027 0.8365 0.8396  7 Al 2.68-2.91, 1 Nb 2.72
84 Al 0.3973 0.1635 0.1604  7 Al 2.68-2.91, 1 Nb 2.72
85 Al 0.2338 0.3973 0.8396  7 Al 2.68-2.91, 1 Nb 2.72
86 Al 0.3973 0.1635 0.3396  7 Al 2.68-2.91, 1 Nb 2.72
87 Al 0.8365 0.6027 0.6604  7 Al 2.68-2.91, 1 Nb 2.72
88 Al 0.7662 0.6027 0.1604  7 Al 2.68-2.91, 1 Nb 2.72
89 Al 0.6027 0.8365 0.6604  7 Al 2.68-2.91, 1 Nb 2.72
90 Al 0.1635 0.3973 0.3396  7 Al 2.68-2.91, 1 Nb 2.72
91 Al 0.1635 0.7662 0.8396  7 Al 2.68-2.91, 1 Nb 2.72
92 Al 0.7662 0.6027 0.3396  7 Al 2.68-2.91, 1 Nb 2.72
93 Al 0.3973 0.2338 0.6604  7 Al 2.68-2.91, 1 Nb 2.72
94 Al 0.8365 0.2338 0.1604  7 Al 2.68-2.91, 1 Nb 2.72
95 Al 0.2338 0.3973 0.6604  7 Al 2.68-2.91, 1 Nb 2.72
96 Al 0.6027 0.7662 0.3396  7 Al 2.68-2.91, 1 Nb 2.72
97 Al 0.1635 0.3973 0.1604  7 Al 2.68-2.91, 1 Nb 2.72
98 Al 0.8365 0.6027 0.8396  7 Al 2.68-2.91, 1 Nb 2.72
99 Al 0.8365 0.2338 0.3396  7 Al 2.68-2.91, 1 Nb 2.72
100 Al 0.6027 0.7662 0.1604  7 Al 2.68-2.91, 1 Nb 2.72
101 Al 0.1635 0.7662 0.6604  7 Al 2.68-2.91, 1 Nb 2.72
102 Al 0.3973 0.2338 0.8396  7 Al 2.68-2.91, 1 Nb 2.72
103 Al 0.7662 0.1635 0.6604  7 Al 2.68-2.91, 1 Nb 2.72
104 Al 0.2338 0.8365 0.3396  7 Al 2.68-2.91, 1 Nb 2.72
105 Al 0.2338 0.8365 0.1604  7 Al 2.68-2.91, 1 Nb 2.72
106 Al 0.7662 0.1635 0.8396  7 Al 2.68-2.91, 1 Nb 2.72


[3]
# ZrNbAl3

A geometry-optimized ZrNbAl3 structure (GGA-PBEsol, Alexandria).

Summary:
* uncorrected energy: -25.36 eV per cell
* spin magnetization: 1.8 μB/cell

abc: 4.8919 4.8919 4.8919
angles: 90.00 90.00 90.00
Last column: nearest neighbours and their distance in Å.
Atoms (fractional coordinates):
1 Nb 0.5000 0.5000 0.5000  12 Al 3.46
2 Al 0.0000 0.5000 0.0000  2 Zr 2.45
3 Al 0.0000 0.0000 0.5000  2 Zr 2.45
4 Al 0.5000 0.0000 0.0000  2 Zr 2.45
5 Zr 0.0000 0.0000 0.0000  6 Al 2.45


[4]
# Nd3Al

A geometry-optimized Nd3Al structure (GGA-PBEsol, Alexandria).

Summary:
* offset from the most stable computed form: 0 meV/atom
* spin magnetization: 0.0 μB/cell

abc: 5.3344 6.9679 6.9679
angles: 120.00 90.00 90.00
Last column: nearest neighbours and their distance in Å.
Atoms (fractional coordinates):
1 Nd 0.2500 0.8220 0.1780  6 Nd 3.25-3.42, 4 Al 3.26-3.49
2 Nd 0.2500 0.3560 0.1780  6 Nd 3.25-3.42, 4 Al 3.26-3.49
3 Nd 0.2500 0.8220 0.6440  6 Nd 3.25-3.42, 4 Al 3.26-3.49
4 Nd 0.7500 0.1780 0.8220  6 Nd 3.25-3.42, 4 Al 3.26-3.49
5 Nd 0.7500 0.6440 0.8220  6 Nd 3.25-3.42, 4 Al 3.26-3.49
6 Nd 0.7500 0.1780 0.3560  6 Nd 3.25-3.42, 4 Al 3.26-3.49
7 Al 0.2500 0.3333 0.6667  12 Nd 3.26-3.49
8 Al 0.7500 0.6667 0.3333  12 Nd 3.26-3.49


[5]
# NdAl

A geometry-optimized NdAl structure (GGA-PBEsol, Alexandria).

Summary:
* uncorrected energy: -80.35 eV per cell
* spin magnetization: 0.0 μB/cell

abc: 5.6687 5.9064 11.6940
angles: 90.00 90.00 90.00
Last column: nearest neighbours and their distance in Å.
Atoms (fractional coordinates):
1 Nd 0.7500 0.1631 0.0099  8 Al 3.12-3.44, 3 Nd 3.28-3.44
2 Nd 0.7500 0.4066 0.3330  6 Al 3.12-3.31, 3 Nd 3.28-3.44
3 Nd 0.7500 0.8369 0.5099  8 Al 3.12-3.44, 3 Nd 3.28-3.44
4 Nd 0.7500 0.5934 0.8330  6 Al 3.12-3.31, 3 Nd 3.28-3.44
5 Nd 0.2500 0.4066 0.1670  6 Al 3.12-3.31, 3 Nd 3.28-3.44
6 Nd 0.2500 0.1631 0.4901  8 Al 3.12-3.44, 3 Nd 3.28-3.44
7 Nd 0.2500 0.5934 0.6670  6 Al 3.12-3.31, 3 Nd 3.28-3.44
8 Nd 0.2500 0.8369 0.9901  8 Al 3.12-3.44, 3 Nd 3.28-3.44
9 Al 0.5000 0.9281 0.2500  4 Al 2.74-2.83
10 Al 0.5000 0.0719 0.7500  4 Al 2.74-2.83
11 Al 0.7500 0.6656 0.1002  2 Al 2.74
12 Al 0.7500 0.3344 0.6002  2 Al 2.74
13 Al 0.0000 0.9281 0.2500  4 Al 2.74-2.83
14 Al 0.0000 0.0719 0.7500  4 Al 2.74-2.83
15 Al 0.2500 0.6656 0.3998  2 Al 2.74
16 Al 0.2500 0.3344 0.8998  2 Al 2.74


[6]
# NdAl

A geometry-optimized NdAl structure (GGA-PBEsol, Alexandria).

Summary:
* uncorrected energy: -9.96 eV per cell
* spin magnetization: 0.0 μB/cell

abc: 3.6789 3.6789 3.6789
angles: 90.00 90.00 90.00
Last column: nearest neighbours and their distance in Å.
Atoms (fractional coordinates):
1 Nd 0.0000 0.0000 0.0000  8 Al 3.19
2 Al 0.5000 0.5000 0.5000  8 Nd 3.19


[7]
# Nd3Al

A geometry-optimized Nd3Al structure (GGA-PBEsol, Alexandria).

Summary:
* offset from the most stable computed form: 4 meV/atom
* spin magnetization: 0.0 μB/cell

abc: 4.8122 4.8122 4.8122
angles: 90.00 90.00 90.00
Last column: nearest neighbours and their distance in Å.
Atoms (fractional coordinates):
1 Nd 0.0000 0.5000 0.5000  8 Nd 3.40, 4 Al 3.40
2 Nd 0.5000 0.0000 0.5000  8 Nd 3.40, 4 Al 3.40
3 Nd 0.5000 0.5000 0.0000  8 Nd 3.40, 4 Al 3.40
4 Al 0.0000 0.0000 0.0000  12 Nd 3.40


[8]
# NdAl2Ni

A geometry-optimized NdAl2Ni structure (GGA-PBEsol, Alexandria).

Summary:
* uncorrected energy: -43.71 eV per cell
* spin magnetization: 0.0 μB/cell

abc: 4.0308 5.7352 6.8477
angles: 90.00 90.00 110.57
Last column: nearest neighbours and their distance in Å.
Atoms (fractional coordinates):
1 Ni 0.2185 0.4369 0.7500  6 Al 2.43-2.47
2 Ni 0.7815 0.5631 0.2500  6 Al 2.43-2.47
3 Nd 0.9454 0.8908 0.7500  3 Ni 2.93-3.16, 6 Al 3.15-3.27
4 Nd 0.0546 0.1092 0.2500  3 Ni 2.93-3.16, 6 Al 3.15-3.27
5 Al 0.3325 0.6649 0.0563  3 Ni 2.43-2.47, 1 Al 2.65
6 Al 0.6675 0.3351 0.9437  3 Ni 2.43-2.47, 1 Al 2.65
7 Al 0.6675 0.3351 0.5563  3 Ni 2.43-2.47, 1 Al 2.65
8 Al 0.3325 0.6649 0.4437  3 Ni 2.43-2.47, 1 Al 2.65


[9]
# Nd2AlNi2

A geometry-optimized Nd2AlNi2 structure (GGA-PBEsol, Alexandria).

Summary:
* uncorrected energy: -28.83 eV per cell
* spin magnetization: 0.0 μB/cell

abc: 4.2502 5.4929 5.5640
angles: 119.58 112.45 90.00
Last column: nearest neighbours and their distance in Å.
Atoms (fractional coordinates):
1 Ni 0.5000 0.2651 0.0000  2 Al 2.58, 1 Ni 2.58
2 Ni 0.5000 0.7349 0.0000  2 Al 2.58, 1 Ni 2.58
3 Nd 0.2018 0.7018 0.4036  6 Ni 2.97-3.04, 2 Al 3.26
4 Nd 0.7982 0.2982 0.5964  6 Ni 2.97-3.04, 2 Al 3.26
5 Al 0.0000 0.0000 0.0000  4 Ni 2.58


[10]
# NdAlNi4

A geometry-optimized NdAlNi4 structure (GGA-PBEsol, Alexandria).

Summary:
* uncorrected energy: -36.38 eV per cell
* spin magnetization: 0.0 μB/cell

abc: 3.8196 5.0632 5.0632
angles: 120.00 90.00 90.00
Last column: nearest neighbours and their distance in Å.
Atoms (fractional coordinates):
1 Ni 0.0000 0.6667 0.3333  6 Ni 2.39
2 Ni 0.5000 0.3388 0.1694  6 Ni 2.39-2.57, 2 Al 2.42
3 Ni 0.5000 0.8306 0.6612  6 Ni 2.39-2.57, 2 Al 2.42
4 Ni 0.5000 0.8306 0.1694  6 Ni 2.39-2.57, 2 Al 2.42
5 Nd 0.0000 0.3333 0.6667  15 Ni 2.92-3.17, 3 Al 2.92
6 Al 0.0000 0.0000 0.0000  6 Ni 2.42


[11]
# NdAlNi4

A geometry-optimized NdAlNi4 structure (GGA-PBEsol, Alexandria).

Summary:
* uncorrected energy: -36.70 eV per cell
* spin magnetization: 0.0 μB/cell

abc: 3.9854 4.9032 4.9032
angles: 118.39 90.00 90.00
Last column: nearest neighbours and their distance in Å.
Atoms (fractional coordinates):
1 Ni 0.0000 0.1699 0.8301  4 Ni 2.45, 2 Al 2.45
2 Ni 0.0000 0.8301 0.1699  4 Ni 2.45, 2 Al 2.45
3 Ni 0.5000 0.0000 0.5000  6 Ni 2.45-2.51, 2 Al 2.45
4 Ni 0.5000 0.5000 0.0000  6 Ni 2.45-2.51, 2 Al 2.45
5 Nd 0.0000 0.5000 0.5000  6 Ni 2.78-2.89
6 Al 0.5000 0.0000 0.0000  8 Ni 2.45


[12]
# SrNdAlO4

A geometry-optimized SrNdAlO4 structure (GGA-PBEsol, Alexandria).

Summary:
* spin magnetization: 0.0 μB/cell
* E_form (uncorrected): -3.1990 eV per atom

abc: 3.7231 3.7231 6.6999
angles: 106.13 106.13 90.00
Last column: nearest neighbours and their distance in Å.
Atoms (fractional coordinates):
1 Sr 0.3561 0.3561 0.7122  9 O 2.40-2.65
2 Nd 0.6407 0.6407 0.2814  9 O 2.38-2.64
3 Al 0.9958 0.9958 0.9916  6 O 1.87-2.04
4 O 0.1611 0.1611 0.3223  1 Al 2.04
5 O 0.8341 0.8341 0.6682  1 Al 1.99
6 O 0.0061 0.5061 0.0122  2 Al 1.87
7 O 0.5061 0.0061 0.0122  2 Al 1.87


Which value of spin magnetization does entry 8 give?
0.0 μB/cell


Among the records above, which one has the highest spin magnetization?
ZrNbAl3


Number 6 is which compound?
NdAl